Entry from Alexandria: a geometry-optimized Zr7Tc structure (GGA-PBE).

Calculated values
Calculated volume in Å³/cell: 174.2
Formation energy in eV/atom: 0.119
Fermi-level density of states in states/eV per cell: 12.06

Unit cell a=6.2691 b=6.2691 c=6.2691 alpha=60.00 beta=60.00 gamma=60.00
Closest atoms and distances in Å follow each position.
Sites, in units of the cell vectors:
Zr 0.0000 0.5000 0.0000  10 Zr 3.13, 2 Tc 3.13
Zr 0.0000 0.0000 0.5000  10 Zr 3.13, 2 Tc 3.13
Zr 0.5000 0.5000 0.0000  10 Zr 3.13, 2 Tc 3.13
Zr 0.5000 0.5000 0.5000  12 Zr 3.13
Zr 0.5000 0.0000 0.0000  10 Zr 3.13, 2 Tc 3.13
Tc 0.0000 0.0000 0.0000  12 Zr 3.13
Zr 0.5000 0.0000 0.5000  10 Zr 3.13, 2 Tc 3.13
Zr 0.0000 0.5000 0.5000  10 Zr 3.13, 2 Tc 3.13